! Li2MnSiO4 | Alexandria via LeMat-Bulk | GGA+U | relaxed; values from VASP
! - SG = Pnma, No. 62
! - excess energy over the best structure of this formula in the dataset (meV/atom) = 0
! - calculated total energy (eV per cell) = -221.153
&SYSTEM
  ibrav = 0, nat = 32, ntyp = 4
/
ATOMIC_SPECIES
Mn 54.94 Mn.upf
O 16.00 O.upf
Li 6.94 Li.upf
Si 28.09 Si.upf
ATOMIC_POSITIONS crystal
Mn 0.682 0.250 0.668
Mn 0.818 0.250 0.168
Mn 0.182 0.750 0.833
Mn 0.318 0.750 0.333
O 0.350 0.750 0.657
O 0.730 0.750 0.307
O 0.788 0.962 0.592
O 0.288 0.038 0.909
O 0.150 0.750 0.157
O 0.212 0.462 0.409
O 0.270 0.250 0.693
O 0.788 0.538 0.592
O 0.712 0.962 0.092
O 0.712 0.538 0.092
O 0.230 0.250 0.193
O 0.770 0.750 0.807
O 0.650 0.250 0.344
O 0.212 0.038 0.409
O 0.288 0.462 0.909
O 0.850 0.250 0.844
Li 0.182 0.498 0.587
Li 0.318 0.499 0.087
Li 0.318 0.002 0.087
Li 0.182 0.001 0.587
Li 0.682 0.998 0.913
Li 0.818 0.999 0.413
Li 0.818 0.502 0.413
Li 0.682 0.501 0.913
Si 0.175 0.250 0.840
Si 0.325 0.250 0.340
Si 0.675 0.750 0.661
Si 0.825 0.750 0.161
CELL_PARAMETERS angstrom
-1.308 -3.038 3.865
-2.579 -4.125 -4.115
9.573 -5.168 -0.820